Entry 1:
! KLi2CoCu | Alexandria | PBE | relaxed; values from VASP
! - total energy (eV per atom) = -1.770
! - calculated volume (A^3/atom) = 18.283
&SYSTEM
  ibrav = 0, nat = 5, ntyp = 4
/
ATOMIC_SPECIES
Cu 63.55 Cu.upf
Li 6.94 Li.upf
K 39.10 K.upf
Co 58.93 Co.upf
ATOMIC_POSITIONS crystal
Cu 0.500 0.500 0.500
Li 0.500 0.000 0.000
Li 0.000 0.000 0.500
K 0.000 0.000 0.000
Co 0.000 0.500 0.000
CELL_PARAMETERS angstrom
4.526 0.000 0.000
0.000 4.463 0.000
0.000 0.000 4.526


Entry 2:
! KNb2CoCu | Alexandria | PBE | relaxed; values from VASP
! - total energy (eV per atom) = -4.591
! - calculated volume (A^3/atom) = 23.459
&SYSTEM
  ibrav = 0, nat = 5, ntyp = 4
/
ATOMIC_SPECIES
Nb 92.91 Nb.upf
Co 58.93 Co.upf
K 39.10 K.upf
Cu 63.55 Cu.upf
ATOMIC_POSITIONS crystal
Nb 0.000 0.000 0.500
Nb 0.500 0.000 0.000
Co 0.500 0.500 0.500
K 0.000 0.500 0.000
Cu 0.000 0.000 0.000
CELL_PARAMETERS angstrom
-0.055 -2.426 -4.052
2.679 -3.898 2.298
-4.064 -2.040 1.277


Which formula does entry 1 have?
KLi2CoCu


Among the records above, which one has the lowest total energy?
KNb2CoCu